LiCoSnH6 | PBE | optimized geometry

Unit cell a=4.606 b=7.964 c=4.400 alpha=90.00 beta=90.08 gamma=90.00
Space group C2 (No. 5)
Unique sites:
Li1 0.000 0.000 0.000 [2 per cell]
Co1 0.000 0.666 0.000 [2 per cell]
Sn1 0.000 0.333 0.500 [2 per cell]
H1 0.126 0.806 0.212 [4 per cell]
H2 0.146 0.533 0.212 [4 per cell]
H3 0.228 0.160 0.212 [4 per cell]

Calculated values
Fermi-level density of states ... 0.20 states/eV/f.u.
Electronic total energy ... -3.65 eV/atom


Li2CoSnH | PBE | optimized geometry

Unit cell a=3.890 b=3.890 c=3.810 alpha=90.00 beta=90.00 gamma=90.00
Space group P4/mmm (No. 123)
Unique sites:
Li1 0.000 0.500 0.000 [2 per cell]
Co1 0.000 0.000 0.500 [1 per cell]
Sn1 0.500 0.500 0.500 [1 per cell]
H1 0.000 0.000 0.000 [1 per cell]

Calculated values
Fermi-level density of states ... 2.39 states/eV/f.u.
Electronic total energy ... -3.81 eV/atom


SrLi2CoH | PBE | optimized geometry

Unit cell a=4.308 b=4.308 c=4.204 alpha=90.00 beta=90.00 gamma=90.00
Space group P4/mmm (No. 123)
Unique sites:
Sr1 0.000 0.000 0.000 [1 per cell]
Li1 0.000 0.500 0.500 [2 per cell]
Co1 0.500 0.500 0.000 [1 per cell]
H1 0.500 0.500 0.500 [1 per cell]

Calculated values
Fermi-level density of states ... 1.15 states/eV/f.u.
Electronic total energy ... -2.85 eV/atom


Sr2LiCoH6 | PBE | optimized geometry

Unit cell a=5.2539 b=5.2539 c=4.6475 alpha=90.00 beta=90.00 gamma=120.00
Space group P-3m1 (No. 164)
Unique sites:
Sr1 0.3333 0.6667 0.2735 [2 per cell]
Li1 0.0000 0.0000 0.0000 [1 per cell]
Co1 0.0000 0.0000 0.5000 [1 per cell]
H1 0.1515 0.3030 0.7119 [6 per cell]

Calculated values
Fermi-level density of states ... 3.25 states/eV/f.u.
Electronic total energy ... -3.67 eV/atom


SrLi2CoH6 | PBE | optimized geometry

Unit cell a=4.5940 b=4.5940 c=6.1676 alpha=90.00 beta=90.00 gamma=120.00
Space group P-3m1 (No. 164)
Unique sites:
Sr1 0.0000 0.0000 0.0000 [1 per cell]
Li1 0.3333 0.6667 0.4342 [2 per cell]
Co1 0.0000 0.0000 0.5000 [1 per cell]
H1 0.1562 0.3125 0.6494 [6 per cell]

Calculated values
Fermi-level density of states ... 1.72 states/eV/f.u.
Electronic total energy ... -3.59 eV/atom


LiTb2CoH6 | PBE | optimized geometry

Unit cell a=4.8331 b=4.8331 c=4.5966 alpha=90.00 beta=90.00 gamma=120.00
Space group P-3m1 (No. 164)
Unique sites:
Li1 0.0000 0.0000 0.0000 [1 per cell]
Tb1 0.3333 0.6667 0.2617 [2 per cell]
Co1 0.0000 0.0000 0.5000 [1 per cell]
H1 0.1624 0.3249 0.7190 [6 per cell]

Calculated values
Fermi-level density of states ... 2.59 states/eV/f.u.
Electronic total energy ... -4.22 eV/atom


Li2TbCoH8 | PBE | optimized geometry

Unit cell a=4.2708 b=4.2708 c=5.7772 alpha=90.00 beta=90.00 gamma=120.00
Space group P-3m1 (No. 164)
Unique sites:
Li1 0.3333 0.6667 0.3839 [2 per cell]
Tb1 0.0000 0.0000 0.0000 [1 per cell]
Co1 0.0000 0.0000 0.5000 [1 per cell]
H1 0.1659 0.3319 0.6570 [6 per cell]
H2 0.3333 0.6667 0.0408 [2 per cell]

Calculated values
Electronic total energy ... -3.94 eV/atom


LiThCo2H8 | PBE | optimized geometry

Unit cell a=4.4444 b=4.4444 c=15.9038 alpha=90.00 beta=90.00 gamma=120.00
Space group R-3 (No. 148, hexagonal axes)
Unique sites:
Li1 0.0000 0.0000 0.0000 [3 per cell]
Th1 0.0000 0.0000 0.5000 [3 per cell]
Co1 0.0000 0.0000 0.3025 [6 per cell]
H1 0.0000 0.0000 0.1976 [6 per cell]
H2 0.0066 0.7245 0.3772 [18 per cell]

Calculated values
Fermi-level density of states ... 3.67 states/eV/f.u.
Electronic total energy ... -4.46 eV/atom


LiVCoH2 | PBE | optimized geometry

Unit cell a=3.268 b=3.268 c=4.355 alpha=90.00 beta=90.00 gamma=90.00
Space group P4/mmm (No. 123)
Unique sites:
Li1 0.000 0.000 0.000 [1 per cell]
V1 0.500 0.500 0.500 [1 per cell]
Co1 0.000 0.000 0.500 [1 per cell]
H1 0.000 0.500 0.000 [2 per cell]

Calculated values
Fermi-level density of states ... 3.77 states/eV/f.u.
Electronic total energy ... -4.21 eV/atom


LiZnCo2H | PBE | optimized geometry

Unit cell a=3.550 b=3.550 c=3.858 alpha=90.00 beta=90.00 gamma=90.00
Space group P4/mmm (No. 123)
Unique sites:
Li1 0.000 0.000 0.000 [1 per cell]
Zn1 0.500 0.500 0.000 [1 per cell]
Co1 0.000 0.500 0.500 [2 per cell]
H1 0.000 0.000 0.500 [1 per cell]

Calculated values
Fermi-level density of states ... 5.12 states/eV/f.u.
Electronic total energy ... -4.18 eV/atom


Li2ZnCoH6 | PBE | optimized geometry

Unit cell a=4.5614 b=4.5614 c=4.6261 alpha=90.00 beta=90.00 gamma=120.00
Space group P-3m1 (No. 164)
Unique sites:
Li1 0.3333 0.6667 0.1316 [2 per cell]
Zn1 0.0000 0.0000 0.5000 [1 per cell]
Co1 0.0000 0.0000 0.0000 [1 per cell]
H1 0.1648 0.3296 0.8046 [6 per cell]

Calculated values
Fermi-level density of states ... 1.25 states/eV/f.u.
Electronic total energy ... -3.42 eV/atom


Li2ZnCoH | PBE | optimized geometry

Unit cell a=3.706 b=3.706 c=3.667 alpha=90.00 beta=90.00 gamma=90.00
Space group P4/mmm (No. 123)
Unique sites:
Li1 0.000 0.500 0.000 [2 per cell]
Zn1 0.000 0.000 0.500 [1 per cell]
Co1 0.500 0.500 0.500 [1 per cell]
H1 0.500 0.500 0.000 [1 per cell]

Calculated values
Fermi-level density of states ... 1.41 states/eV/f.u.
Electronic total energy ... -3.19 eV/atom


LiZr2CoH | PBE | optimized geometry

Unit cell a=4.494 b=4.494 c=3.407 alpha=90.00 beta=90.00 gamma=90.00
Space group P4/mmm (No. 123)
Unique sites:
Li1 0.000 0.000 0.000 [1 per cell]
Zr1 0.000 0.500 0.500 [2 per cell]
Co1 0.500 0.500 0.000 [1 per cell]
H1 0.000 0.000 0.500 [1 per cell]

Calculated values
Fermi-level density of states ... 2.96 states/eV/f.u.
Electronic total energy ... -6.05 eV/atom


LuCoH | PBE | optimized geometry

Unit cell a=3.5478 b=3.5478 c=3.5287 alpha=90.00 beta=90.00 gamma=120.00
Space group P-6m2 (No. 187)
Unique sites:
Lu1 0.0000 0.0000 0.0000 [1 per cell]
Co1 0.3333 0.6667 0.5000 [1 per cell]
H1 0.6667 0.3333 0.5000 [1 per cell]

Calculated values
Fermi-level density of states ... 1.84 states/eV/f.u.
Electronic total energy ... -5.01 eV/atom


Lu3Co5H12 | PBE | optimized geometry

Unit cell a=10.928 b=10.928 c=10.928 alpha=90.00 beta=90.00 gamma=90.00
Space group Ia-3d (No. 230)
Unique sites:
Lu1 0.000 0.250 0.125 [24 per cell]
Co1 0.000 0.000 0.000 [16 per cell]
Co2 0.000 0.250 0.375 [24 per cell]
H1 0.033 0.052 0.642 [96 per cell]

Calculated values
Fermi-level density of states ... 4.32 states/eV/f.u.
Electronic total energy ... -4.72 eV/atom


MgCo2H7 | PBE | optimized geometry

Unit cell a=5.169 b=7.684 c=3.227 alpha=90.00 beta=90.00 gamma=90.00
Space group Cmmm (No. 65)
Unique sites:
Mg1 0.000 0.000 0.000 [2 per cell]
Co1 0.000 0.291 0.500 [4 per cell]
H1 0.000 0.308 0.000 [4 per cell]
H2 0.000 0.500 0.500 [2 per cell]
H3 0.200 0.134 0.500 [8 per cell]

Calculated values
Fermi-level density of states ... 1.22 states/eV/f.u.
Electronic total energy ... -3.95 eV/atom


MgCoH5 | PBE | optimized geometry

Unit cell a=8.533 b=4.443 c=5.987 alpha=90.00 beta=110.49 gamma=90.00
Space group C2/c (No. 15)
Unique sites:
Mg1 0.000 0.021 0.250 [4 per cell]
Co1 0.000 0.500 0.000 [4 per cell]
H1 0.000 0.414 0.750 [4 per cell]
H2 0.142 0.268 0.560 [8 per cell]
H3 0.144 0.272 0.083 [8 per cell]

Calculated values
Fermi-level density of states ... 0.98 states/eV/f.u.
Electronic total energy ... -3.68 eV/atom


Mg2CoH4 | PBE | optimized geometry

Unit cell a=3.315 b=3.315 c=10.831 alpha=90.00 beta=90.00 gamma=90.00
Space group I4/mmm (No. 139)
Unique sites:
Mg1 0.000 0.000 0.138 [4 per cell]
Co1 0.000 0.000 0.500 [2 per cell]
H1 0.000 0.000 0.345 [4 per cell]
H2 0.000 0.500 0.000 [4 per cell]

Calculated values
ΔE to the lowest computed polymorph ... 84.2 meV per atom
Fermi-level density of states ... 0.96 states/eV/f.u.


MgCo2H | PBE | optimized geometry

Unit cell a=5.052 b=5.052 c=7.208 alpha=90.00 beta=90.00 gamma=90.00
Space group I4_1/amd (No. 141, origin choice 2)
Unique sites:
Mg1 0.000 0.250 0.375 [4 per cell]
Co1 0.000 0.000 0.000 [8 per cell]
H1 0.000 0.250 0.875 [4 per cell]

Calculated values
ΔE to the lowest computed polymorph ... 0.0 meV per atom
Fermi-level density of states ... 4.22 states/eV/f.u.


Mg3CoH | PBE | optimized geometry

Unit cell a=4.144 b=4.144 c=4.144 alpha=90.00 beta=90.00 gamma=90.00
Space group Pm-3m (No. 221)
Unique sites:
Mg1 0.000 0.000 0.500 [3 per cell]
Co1 0.500 0.500 0.500 [1 per cell]
H1 0.000 0.000 0.000 [1 per cell]

Calculated values
ΔE to the lowest computed polymorph ... 0.0 meV per atom
Fermi-level density of states ... 6.51 states/eV/f.u.


MgCoH3 | PBE | optimized geometry

Unit cell a=2.961 b=2.961 c=8.600 alpha=90.00 beta=90.00 gamma=90.00
Space group I4mm (No. 107)
Unique sites:
Mg1 0.000 0.000 0.000 [2 per cell]
Co1 0.000 0.000 0.305 [2 per cell]
H1 0.000 0.000 0.489 [2 per cell]
H2 0.000 0.500 0.218 [4 per cell]

Calculated values
Fermi-level density of states ... 1.69 states/eV/f.u.
Electronic total energy ... -3.85 eV/atom